1.
Tb2PmNd4Sm2: optimized geometry, PBE.

Properties
energy of formation from the pure elements = 13.6 meV/atom
mass density = 7268 kg/m³

a = 15.444 Å, b = 5.146 Å, c = 8.127 Å
α = 90.00°, β = 108.47°, γ = 90.00°
Space group C2/m (No. 12)
Unique sites:
1 Tb 0.111 0.000 0.167
2 Pm 0.000 0.000 0.500
3 Nd 0.055 0.500 0.833
4 Nd 0.223 0.000 0.833
5 Sm 0.167 0.500 0.500

2.
Cs4Li2Si6O15: optimized geometry, PBE.

Properties
energy relative to the elements, uncorrected = -2.567 eV per atom
mass density = 3405 kg/m³

a = 11.098 Å, b = 8.721 Å, c = 19.230 Å
α = 90.00°, β = 90.09°, γ = 90.00°
Space group P2_1/m (No. 11)
Unique sites:
1 Cs 0.022 0.250 0.007
2 Cs 0.053 0.750 0.515
3 Cs 0.202 0.250 0.222
4 Cs 0.224 0.750 0.721
5 Cs 0.278 0.750 0.227
6 Cs 0.301 0.250 0.733
7 Cs 0.453 0.250 0.979
8 Cs 0.469 0.750 0.482
9 Li 0.240 0.516 0.071
10 Li 0.269 0.020 0.580
11 Si 0.001 0.567 0.336
12 Si 0.013 0.066 0.829
13 Si 0.239 0.063 0.413
14 Si 0.247 0.562 0.902
15 Si 0.478 0.062 0.329
16 Si 0.493 0.062 0.164
17 O 0.021 0.522 0.253
18 O 0.039 0.750 0.345
19 O 0.051 0.250 0.830
20 O 0.095 0.522 0.122
21 O 0.105 0.032 0.378
22 O 0.130 0.025 0.636
23 O 0.140 0.528 0.844
24 O 0.229 0.020 0.975
25 O 0.248 0.250 0.423
26 O 0.256 0.750 0.908
27 O 0.258 0.525 0.485
28 O 0.339 0.015 0.352
29 O 0.372 0.505 0.862
30 O 0.387 0.510 0.119
31 O 0.419 0.015 0.626
32 O 0.485 0.003 0.246
33 O 0.487 0.250 0.327
34 O 0.492 0.250 0.165

3.
Pm2AlBRh6: optimized geometry, PBE.

Properties
energy of formation from the pure elements = -601.5 meV/atom
mass density = 9211 kg/m³

a = 6.210 Å, b = 6.238 Å, c = 8.798 Å
α = 90.00°, β = 90.00°, γ = 90.00°
Space group Immm (No. 71)
Unique sites:
1 Pm 0.000 0.000 0.250
2 Al 0.000 0.500 0.000
3 B 0.000 0.500 0.500
4 Rh 0.000 0.500 0.266
5 Rh 0.235 0.267 0.500

4.
NaPrBr3: optimized geometry, PBE.

Properties
energy relative to the elements, uncorrected = -1.439 eV per atom
mass density = 3455 kg/m³

a = 7.989 Å, b = 13.876 Å, c = 6.999 Å
α = 90.00°, β = 90.00°, γ = 90.00°
Space group Cmcm (No. 63)
Unique sites:
1 Na 0.000 0.167 0.250
2 Pr 0.000 0.500 0.000
3 Br 0.000 0.326 0.750
4 Br 0.237 0.087 0.750

5.
Pr2SmDyY6: optimized geometry, PBE.

Properties
energy of formation from the pure elements = 111.9 meV/atom
mass density = 5602 kg/m³

a = 9.124 Å, b = 15.089 Å, c = 9.865 Å
α = 90.00°, β = 99.97°, γ = 90.00°
Space group C2/c (No. 15)
Unique sites:
1 Pr 0.242 0.049 0.044
2 Sm 0.000 0.017 0.750
3 Dy 0.000 0.406 0.250
4 Y 0.069 0.190 0.443
5 Y 0.098 0.395 0.618
6 Y 0.203 0.222 0.814

6.
YNi2Ag: optimized geometry, PBE.

Properties
energy of formation from the pure elements = -4.5 meV/atom
energy above the most stable polymorph in this dataset = 157 meV per atom
mass density = 7681 kg/m³

a = 6.477 Å, b = 6.477 Å, c = 6.477 Å
α = 90.00°, β = 90.00°, γ = 90.00°
Space group F-43m (No. 216)
Unique sites:
1 Y 0.000 0.000 0.000
2 Ni 0.000 0.000 0.500
3 Ni 0.250 0.250 0.750
4 Ag 0.250 0.250 0.250